Entry 1:
Computed, not measured: crystalline Ba2PbAu at its relaxed geometry at the PBE-GGA level of DFT.

N(E_F)	0.373	states/eV/atom
M_tot	0.0	Bohr magnetons per cell
space-group type	Imm2
total DFT energy (no corrections)	-3.24	eV/atom

```
Ba2PbAu
1.0
-2.043 2.769 6.455
2.043 -2.769 6.455
2.043 2.769 -6.455
Ba Pb Au
2 1 1
Direct
0.000 0.000 0.000
0.702 0.202 0.500
0.300 0.800 0.500
0.481 0.481 0.000
```


Entry 2:
Computed, not measured: crystalline BaPb2Au6 at its relaxed geometry at the PBE-GGA level of DFT.

N(E_F)	0.224	states/eV/atom
M_tot	0.0	Bohr magnetons per cell
space-group type	Immm
total DFT energy (no corrections)	-3.47	eV/atom

```
BaPb2Au6
1.0
-2.116 3.965 6.945
2.116 -3.965 6.945
2.116 3.965 -6.945
Ba Pb Au
1 2 6
Direct
0.000 0.000 0.000
0.362 0.862 0.500
0.638 0.138 0.500
0.004 0.317 0.687
0.323 0.500 0.823
0.370 0.683 0.687
0.630 0.317 0.313
0.677 0.500 0.177
0.996 0.683 0.313
```


Entry 3:
Computed, not measured: crystalline BaPb2Au at its relaxed geometry at the PBE-GGA level of DFT.

N(E_F)	0.432	states/eV/atom
M_tot	0.0	Bohr magnetons per cell
space-group type	R-3m
total DFT energy (no corrections)	-3.54	eV/atom

```
BaPb2Au
1.0
2.452 1.415 6.233
-2.452 1.415 6.233
0.000 -2.831 6.233
Ba Pb Au
1 2 1
Direct
0.000 0.000 0.000
0.219 0.219 0.219
0.781 0.781 0.781
0.500 0.500 0.500
```


Entry 4:
Computed, not measured: crystalline Ba2PbAu2 at its relaxed geometry at the PBE-GGA level of DFT.

N(E_F)	0.662	states/eV/atom
M_tot	0.0	Bohr magnetons per cell
space-group type	Cmmm
total DFT energy (no corrections)	-3.48	eV/atom

```
Ba2PbAu2
1.0
2.417 -8.182 0.000
2.417 8.182 0.000
0.000 0.000 4.170
Ba Pb Au
2 1 2
Direct
0.129 0.871 0.000
0.871 0.129 0.000
0.500 0.500 0.500
0.301 0.699 0.500
0.699 0.301 0.500
```